First-principles (GGA-PBE) data for an optimized crystal structure of LiCe2Ga9, as listed in Alexandria.

Calculated values
Crystal system   trigonal
Formation enthalpy at 0 K   -0.271 eV per atom
Magnetic moment   1.5 μB/f.u.

Lattice parameters (Å, degrees): 5.6955 5.6955 9.2531 72.08 72.08 60.00
Last column: magnetic moment on the atom in μB.
Fractional positions:
Li (0.0000, 0.0000, 0.0000)  0.00
Ce (0.8585, 0.8585, 0.4246)  0.60
Ce (0.1415, 0.1415, 0.5754)  0.60
Ga (0.6622, 0.6622, 0.0136)  0.00
Ga (0.3378, 0.3378, 0.9864)  0.00
Ga (0.5000, 0.5000, 0.5000)  0.00
Ga (0.4086, 0.4086, 0.2538)  0.00
Ga (0.9290, 0.4086, 0.2538)  0.00
Ga (0.4086, 0.9290, 0.2538)  0.00
Ga (0.5914, 0.5914, 0.7462)  0.00
Ga (0.5914, 0.0710, 0.7462)  0.00
Ga (0.0710, 0.5914, 0.7462)  0.00



First-principles (GGA-PBE) data for an optimized crystal structure of LiCe4Ga5, as listed in Alexandria.

Calculated values
Crystal system   tetragonal
Formation enthalpy at 0 K   -0.452 eV per atom
Magnetic moment   0.0 μB/f.u.

Lattice parameters (Å, degrees): 3.2546 3.2546 20.0350 90.00 90.00 90.00
Fractional positions:
Li (0.0000, 0.0000, 0.0000)
Ce (0.0000, 0.0000, 0.1781)
Ce (0.0000, 0.0000, 0.3926)
Ce (0.0000, 0.0000, 0.6074)
Ce (0.0000, 0.0000, 0.8219)
Ga (0.5000, 0.5000, 0.0704)
Ga (0.5000, 0.5000, 0.2852)
Ga (0.5000, 0.5000, 0.5000)
Ga (0.5000, 0.5000, 0.7148)
Ga (0.5000, 0.5000, 0.9296)